# 1
LaTb3Tm7 after structural relaxation, computed with GGA-PBE.

* ΔE to the lowest computed polymorph: 0 meV/atom
* DOS(E_F): 18.08 states/eV/cell
* ΔH_f (0 K): 3.61 kcal/mol of atoms
* M_tot: 0.0 μB per formula unit
* crystal system: monoclinic

Structure (CIF):
```
data_LaTb3Tm7
_cell_length_a 6.900
_cell_length_b 5.495
_cell_length_c 9.845
_cell_angle_alpha 90.00
_cell_angle_beta 109.03
_cell_angle_gamma 90.00
_symmetry_space_group_name_H-M 'P 1 2/m 1'
_symmetry_Int_Tables_number 10
loop_
_symmetry_equiv_pos_as_xyz
'x,y,z'
'-x,-y,-z'
'-x,y,-z'
'x,-y,z'
loop_
_atom_site_label
_atom_site_type_symbol
_atom_site_fract_x
_atom_site_fract_y
_atom_site_fract_z
La1 La 0.000 0.000 0.000
Tb1 Tb 0.277 0.500 0.494
Tb2 Tb 0.500 0.000 0.000
Tm1 Tm 0.000 0.000 0.500
Tm2 Tm 0.149 0.500 0.789
Tm3 Tm 0.325 0.500 0.142
Tm4 Tm 0.430 0.000 0.332
```

=====

# 2
La5TbTm6 after structural relaxation, computed with GGA-PBE.

* DOS(E_F): 35.17 states/eV/cell
* ΔH_f (0 K): 1.69 kcal/mol of atoms
* M_tot: 0.0 μB per formula unit
* crystal system: orthorhombic

Structure (CIF):
```
data_La5TbTm6
_cell_length_a 5.830
_cell_length_b 7.879
_cell_length_c 17.470
_cell_angle_alpha 90.00
_cell_angle_beta 90.00
_cell_angle_gamma 90.00
_symmetry_space_group_name_H-M 'I m m m'
_symmetry_Int_Tables_number 71
_symmetry_space_group_name_Hall '-I 2 2'
loop_
_atom_site_label
_atom_site_type_symbol
_atom_site_fract_x
_atom_site_fract_y
_atom_site_fract_z
La1 La 0.000 0.000 0.000
La2 La 0.000 0.000 0.333
La3 La 0.000 0.500 0.333
Tb1 Tb 0.000 0.500 0.000
Tm1 Tm 0.000 0.244 0.500
Tm2 Tm 0.000 0.254 0.165
```

=====

# 3
La2TbTm6 after structural relaxation, computed with GGA-PBE.

* ΔE to the lowest computed polymorph: 123 meV/atom
* DOS(E_F): 49.18 states/eV/cell
* ΔH_f (0 K): 4.72 kcal/mol of atoms
* M_tot: 0.0 μB per formula unit
* crystal system: monoclinic

Structure (CIF):
```
data_La2TbTm6
_cell_length_a 14.184
_cell_length_b 14.208
_cell_length_c 6.332
_cell_angle_alpha 90.00
_cell_angle_beta 114.59
_cell_angle_gamma 90.00
_symmetry_space_group_name_H-M 'C 1 2/c 1'
_symmetry_Int_Tables_number 15
loop_
_symmetry_equiv_pos_as_xyz
'x,y,z'
'-x,-y,-z'
'-x,y,-z+1/2'
'x,-y,z+1/2'
'x+1/2,y+1/2,z'
'-x+1/2,-y+1/2,-z'
'-x+1/2,y+1/2,-z+1/2'
'x+1/2,-y+1/2,z+1/2'
loop_
_atom_site_label
_atom_site_type_symbol
_atom_site_fract_x
_atom_site_fract_y
_atom_site_fract_z
La1 La 0.150 0.037 0.460
Tb1 Tb 0.000 0.370 0.250
Tm1 Tm 0.057 0.189 0.024
Tm2 Tm 0.126 0.425 0.931
Tm3 Tm 0.203 0.253 0.699
```

=====

# 4
La3Tb2Tm6 after structural relaxation, computed with GGA-PBE.

* DOS(E_F): 32.27 states/eV/cell
* ΔH_f (0 K): 4.74 kcal/mol of atoms
* M_tot: 0.0 μB per formula unit
* crystal system: monoclinic

Structure (CIF):
```
data_La3Tb2Tm6
_cell_length_a 6.162
_cell_length_b 10.704
_cell_length_c 11.520
_cell_angle_alpha 90.00
_cell_angle_beta 100.40
_cell_angle_gamma 90.00
_symmetry_space_group_name_H-M 'C 1 2/m 1'
_symmetry_Int_Tables_number 12
loop_
_symmetry_equiv_pos_as_xyz
'x,y,z'
'-x,-y,-z'
'-x,y,-z'
'x,-y,z'
'x+1/2,y+1/2,z'
'-x+1/2,-y+1/2,-z'
'-x+1/2,y+1/2,-z'
'x+1/2,-y+1/2,z'
loop_
_atom_site_label
_atom_site_type_symbol
_atom_site_fract_x
_atom_site_fract_y
_atom_site_fract_z
La1 La 0.000 0.000 0.000
La2 La 0.000 0.336 0.000
Tb1 Tb 0.000 0.166 0.500
Tm1 Tm 0.247 0.334 0.744
Tm2 Tm 0.249 0.000 0.745
```

=====

# 5
La12TbTm5 after structural relaxation, computed with GGA-PBE.

* DOS(E_F): 49.34 states/eV/cell
* ΔH_f (0 K): 0.45 kcal/mol of atoms
* M_tot: 0.0 μB per formula unit
* crystal system: monoclinic

Structure (CIF):
```
data_La12TbTm5
_cell_length_a 19.028
_cell_length_b 10.862
_cell_length_c 6.360
_cell_angle_alpha 90.00
_cell_angle_beta 109.15
_cell_angle_gamma 90.00
_symmetry_space_group_name_H-M 'C 1 2/m 1'
_symmetry_Int_Tables_number 12
loop_
_symmetry_equiv_pos_as_xyz
'x,y,z'
'-x,-y,-z'
'-x,y,-z'
'x,-y,z'
'x+1/2,y+1/2,z'
'-x+1/2,-y+1/2,-z'
'-x+1/2,y+1/2,-z'
'x+1/2,-y+1/2,z'
loop_
_atom_site_label
_atom_site_type_symbol
_atom_site_fract_x
_atom_site_fract_y
_atom_site_fract_z
La1 La 0.000 0.170 0.000
La2 La 0.000 0.329 0.500
La3 La 0.167 0.171 0.834
La4 La 0.167 0.329 0.334
Tb1 Tb 0.000 0.500 0.000
Tm1 Tm 0.000 0.000 0.500
Tm2 Tm 0.167 0.000 0.334
Tm3 Tm 0.167 0.500 0.833
```

=====

# 6
LaTb7Tm4 after structural relaxation, computed with GGA-PBE.

* DOS(E_F): 16.08 states/eV/cell
* ΔH_f (0 K): -0.01 kcal/mol of atoms
* M_tot: 0.0 μB per formula unit
* crystal system: triclinic

Structure (CIF):
```
data_LaTb7Tm4
_cell_length_a 6.196
_cell_length_b 7.162
_cell_length_c 8.827
_cell_angle_alpha 89.97
_cell_angle_beta 76.43
_cell_angle_gamma 89.98
_symmetry_space_group_name_H-M 'P -1'
_symmetry_Int_Tables_number 2
loop_
_symmetry_equiv_pos_as_xyz
'x,y,z'
'-x,-y,-z'
loop_
_atom_site_label
_atom_site_type_symbol
_atom_site_fract_x
_atom_site_fract_y
_atom_site_fract_z
La1 La 0.000 0.000 0.000
Tb1 Tb 0.000 0.500 0.000
Tb2 Tb 0.224 0.000 0.336
Tb3 Tb 0.279 0.748 0.663
Tb4 Tb 0.500 0.253 0.000
Tm1 Tm 0.220 0.500 0.336
Tm2 Tm 0.278 0.253 0.664
```